1.
First-principles (PBE) data for crystalline Ac2YSn4Pt3 at its relaxed geometry, as listed in the Alexandria database.

Results
Size of the total moment = 0.0 μB per formula unit
Electronic total energy = -5.749 eV/atom
Density of states at the Fermi level = 4.34 states/eV per cell
DFT formation energy = -0.867 eV/atom

CIF file:
```
data_Ac2YSn4Pt3
_cell_length_a 4.5879
_cell_length_b 4.5879
_cell_length_c 12.1814
_cell_angle_alpha 90.00
_cell_angle_beta 90.00
_cell_angle_gamma 90.00
_symmetry_space_group_name_H-M 'P -4 m 2'
_symmetry_Int_Tables_number 115
_symmetry_space_group_name_Hall 'P -4 -2'
loop_
_atom_site_label
_atom_site_fract_x
_atom_site_fract_y
_atom_site_fract_z
_atom_site_occupancy
Ac1 0.0000 0.5000 0.2339 1
Y1 0.0000 0.0000 0.5000 1
Sn1 0.0000 0.0000 0.0000 1
Sn2 0.0000 0.5000 0.6560 1
Sn3 0.5000 0.5000 0.0000 1
Pt1 0.0000 0.5000 0.8771 1
Pt2 0.5000 0.5000 0.5000 1
```

---

2.
First-principles (PBE) data for crystalline Ac2ZnSnPt6 at its relaxed geometry, as listed in the Alexandria database.

Results
Size of the total moment = 0.0 μB per formula unit
Electronic total energy = -5.690 eV/atom
Density of states at the Fermi level = 13.02 states/eV per cell
DFT formation energy = -0.716 eV/atom

CIF file:
```
data_Ac2ZnSnPt6
_cell_length_a 5.7937
_cell_length_b 5.7937
_cell_length_c 24.4886
_cell_angle_alpha 90.00
_cell_angle_beta 90.00
_cell_angle_gamma 120.00
_symmetry_space_group_name_H-M 'R -3 m'
_symmetry_Int_Tables_number 166
_symmetry_space_group_name_Hall '-R 3 2"'
loop_
_atom_site_label
_atom_site_fract_x
_atom_site_fract_y
_atom_site_fract_z
_atom_site_occupancy
Ac1 0.0000 0.0000 0.2069 1
Zn1 0.0000 0.0000 0.5000 1
Sn1 0.0000 0.0000 0.0000 1
Pt1 0.0084 0.5042 0.2489 1
```

---

3.
First-principles (PBE) data for crystalline AcZn2SnPt5 at its relaxed geometry, as listed in the Alexandria database.

Results
Size of the total moment = 0.0 μB per formula unit
Electronic total energy = -4.937 eV/atom
Density of states at the Fermi level = 4.95 states/eV per cell
DFT formation energy = -0.397 eV/atom

CIF file:
```
data_AcZn2SnPt5
_cell_length_a 4.8280
_cell_length_b 4.8280
_cell_length_c 7.4973
_cell_angle_alpha 90.00
_cell_angle_beta 90.00
_cell_angle_gamma 90.00
_symmetry_space_group_name_H-M 'P 4/m m m'
_symmetry_Int_Tables_number 123
_symmetry_space_group_name_Hall '-P 4 2'
loop_
_atom_site_label
_atom_site_fract_x
_atom_site_fract_y
_atom_site_fract_z
_atom_site_occupancy
Ac1 0.0000 0.0000 0.0000 1
Zn1 0.5000 0.5000 0.3368 1
Sn1 0.0000 0.0000 0.5000 1
Pt1 0.0000 0.5000 0.2874 1
Pt2 0.5000 0.5000 0.0000 1
```

---

4.
First-principles (PBE) data for crystalline AcZnSnPt2 at its relaxed geometry, as listed in the Alexandria database.

Results
Size of the total moment = 0.0 μB per formula unit
Electronic total energy = -5.132 eV/atom
Density of states at the Fermi level = 6.34 states/eV per cell
DFT formation energy = -0.839 eV/atom

CIF file:
```
data_AcZnSnPt2
_cell_length_a 4.3315
_cell_length_b 4.3315
_cell_length_c 11.9305
_cell_angle_alpha 90.00
_cell_angle_beta 90.00
_cell_angle_gamma 90.00
_symmetry_space_group_name_H-M 'I -4 m 2'
_symmetry_Int_Tables_number 119
_symmetry_space_group_name_Hall 'I -4 -2'
loop_
_atom_site_label
_atom_site_fract_x
_atom_site_fract_y
_atom_site_fract_z
_atom_site_occupancy
Ac1 0.0000 0.0000 0.0000 1
Zn1 0.0000 0.5000 0.2500 1
Sn1 0.0000 0.5000 0.7500 1
Pt1 0.0000 0.0000 0.3857 1
```

---

5.
First-principles (PBE) data for crystalline AcZn2SnPt at its relaxed geometry, as listed in the Alexandria database.

Results
Size of the total moment = 0.0 μB per formula unit
Electronic total energy = -3.975 eV/atom
Density of states at the Fermi level = 5.39 states/eV per cell
DFT formation energy = -0.635 eV/atom

CIF file:
```
data_AcZn2SnPt
_cell_length_a 4.4267
_cell_length_b 4.5104
_cell_length_c 11.2969
_cell_angle_alpha 90.00
_cell_angle_beta 90.00
_cell_angle_gamma 90.00
_symmetry_space_group_name_H-M 'I m m 2'
_symmetry_Int_Tables_number 44
_symmetry_space_group_name_Hall 'I 2 -2'
loop_
_atom_site_label
_atom_site_fract_x
_atom_site_fract_y
_atom_site_fract_z
_atom_site_occupancy
Ac1 0.0000 0.0000 0.0000 1
Zn1 0.0000 0.0000 0.3911 1
Zn2 0.0000 0.5000 0.2467 1
Sn1 0.0000 0.5000 0.7502 1
Pt1 0.0000 0.0000 0.6150 1
```

---

6.
First-principles (PBE) data for crystalline Ac3Zn2SnPt6 at its relaxed geometry, as listed in the Alexandria database.

Results
Size of the total moment = 0.0 μB per formula unit
Electronic total energy = -5.356 eV/atom
Density of states at the Fermi level = 7.60 states/eV per cell
DFT formation energy = -0.762 eV/atom

CIF file:
```
data_Ac3Zn2SnPt6
_cell_length_a 5.9486
_cell_length_b 5.9486
_cell_length_c 9.2250
_cell_angle_alpha 90.00
_cell_angle_beta 90.00
_cell_angle_gamma 120.00
_symmetry_space_group_name_H-M 'P -3 m 1'
_symmetry_Int_Tables_number 164
_symmetry_space_group_name_Hall '-P 3 2"'
loop_
_atom_site_label
_atom_site_fract_x
_atom_site_fract_y
_atom_site_fract_z
_atom_site_occupancy
Ac1 0.0000 0.0000 0.0000 1
Ac2 0.3333 0.6667 0.6293 1
Zn1 0.3333 0.6667 0.0518 1
Sn1 0.0000 0.0000 0.5000 1
Pt1 0.1755 0.3511 0.2779 1
```

---

7.
First-principles (PBE) data for crystalline Ac2ZnSn4Pt3 at its relaxed geometry, as listed in the Alexandria database.

Results
Size of the total moment = 0.0 μB per formula unit
Electronic total energy = -5.180 eV/atom
Density of states at the Fermi level = 4.42 states/eV per cell
DFT formation energy = -0.818 eV/atom

CIF file:
```
data_Ac2ZnSn4Pt3
_cell_length_a 4.6902
_cell_length_b 4.6902
_cell_length_c 10.9211
_cell_angle_alpha 90.00
_cell_angle_beta 90.00
_cell_angle_gamma 90.00
_symmetry_space_group_name_H-M 'P -4 m 2'
_symmetry_Int_Tables_number 115
_symmetry_space_group_name_Hall 'P -4 -2'
loop_
_atom_site_label
_atom_site_fract_x
_atom_site_fract_y
_atom_site_fract_z
_atom_site_occupancy
Ac1 0.0000 0.5000 0.2430 1
Zn1 0.5000 0.5000 0.0000 1
Sn1 0.0000 0.0000 0.5000 1
Sn2 0.0000 0.5000 0.8708 1
Sn3 0.5000 0.5000 0.5000 1
Pt1 0.0000 0.0000 0.0000 1
Pt2 0.0000 0.5000 0.6268 1
```

---

8.
First-principles (PBE) data for crystalline AcZnSnPt at its relaxed geometry, as listed in the Alexandria database.

Results
Size of the total moment = 0.0 μB per formula unit
Electronic total energy = -4.433 eV/atom
Density of states at the Fermi level = 8.25 states/eV per cell
DFT formation energy = -0.576 eV/atom

CIF file:
```
data_AcZnSnPt
_cell_length_a 7.2337
_cell_length_b 7.2337
_cell_length_c 7.2337
_cell_angle_alpha 90.00
_cell_angle_beta 90.00
_cell_angle_gamma 90.00
_symmetry_space_group_name_H-M 'F -4 3 m'
_symmetry_Int_Tables_number 216
_symmetry_space_group_name_Hall 'F -4 2 3'
loop_
_atom_site_label
_atom_site_fract_x
_atom_site_fract_y
_atom_site_fract_z
_atom_site_occupancy
Ac1 0.0000 0.0000 0.0000 1
Zn1 0.2500 0.2500 0.7500 1
Sn1 0.0000 0.0000 0.5000 1
Pt1 0.2500 0.2500 0.2500 1
```

---

Question: Which value of electronic total energy does entry 3 give?
Answer: -4.937 eV/atom

---

Question: Look up the DFT formation energy of the fourth one.
Answer: -0.839 eV/atom

---

Question: Number 5 is which compound?
Answer: AcZn2SnPt

---

Question: density of states at the Fermi level of number 7 (Ac2ZnSn4Pt3)?
Answer: 4.42 states/eV per cell